# 1
HfZr2TlSi | SCAN | PBEsol geometry

Computed properties:
space group = No. 123
N(E_F) = 1.52 states/eV per atom
formation energy (no corrections) = 1.272 eV/atom
spin magnetization = 0.0 μB/cell

The structure in POSCAR format:
```
HfZr2TlSi
1.0
5.265 0.000 0.000
0.000 5.265 0.000
0.000 0.000 4.689
Hf Zr Tl Si
1 2 1 1
Direct
0.000 0.000 0.000
0.000 0.500 0.500
0.500 0.000 0.500
0.500 0.500 0.500
0.500 0.500 0.000
```

---

# 2
TaTc2Ru | SCAN | PBEsol geometry

Computed properties:
space group = No. 12
N(E_F) = 1.20 states/eV per atom
DFT total energy = -42.888 eV per atom
spin magnetization = 0.0 μB/cell

The structure in POSCAR format:
```
TaTc2Ru
1.0
2.639 -4.364 0.000
2.639 4.364 0.000
-0.895 0.000 2.562
Ta Tc Ru
1 2 1
Direct
0.000 0.000 0.000
0.000 0.500 0.500
0.500 0.000 0.500
0.500 0.500 0.000
```